Entry 1:
AlCd2Ag (SCAN, PBEsol geometry); symmetry = Pmm2; crystal system = orthorhombic
1.0
-0.163 -0.825 2.839
-3.661 -2.933 -1.062
3.327 -3.820 -0.919
Al Ag Cd
1 1 2
direct
0.375 0.500 0.222
0.375 0.000 0.528
0.875 0.000 0.040
0.875 0.500 0.709



Entry 2:
AlCdAg2 (SCAN, PBEsol geometry); symmetry = Pmm2; crystal system = orthorhombic
1.0
-0.407 -2.910 0.542
4.049 -0.153 2.223
-2.278 1.105 4.225
Al Ag Cd
1 2 1
direct
0.375 0.000 0.433
0.875 0.000 0.954
0.875 0.500 0.309
0.375 0.500 0.804



Entry 3:
AlCdAg2 (SCAN, PBEsol geometry); symmetry = I4/mmm; crystal system = tetragonal
1.0
-2.052 3.308 1.820
-1.768 -1.613 -4.134
-3.591 -2.348 0.219
Al Ag Cd
1 2 1
direct
0.500 0.000 0.500
0.250 0.500 0.250
0.750 0.500 0.750
0.000 0.000 0.000



Entry 4:
Al2CdAg (SCAN, PBEsol geometry); symmetry = Cm; crystal system = monoclinic
1.0
2.984 0.005 -0.004
1.496 2.582 -0.004
1.480 0.854 9.001
Al Ag Cd
2 1 1
direct
0.999 0.999 0.004
0.746 0.746 0.761
0.255 0.255 0.236
0.500 0.500 0.499



Respective DFT total energy values: -24.96 -25.29 -25.27 -19.34 eV/atom.
Respective energy of formation values: 0.030 -0.067 -0.041 -0.017 eV/atom.